Version P
Here is crystalline DyErHgPt at its relaxed geometry from Alexandria. Energies are from PBE.

Unit cell a=3.5581 b=3.5581 c=7.3389 alpha=90.00 beta=90.00 gamma=90.00
Closest atoms and distances in Å follow each position.
Positions (direct):
Dy 0.5000 0.5000 0.1313  4 Pt 3.03, 4 Hg 3.24, 1 Er 3.31
Er 0.5000 0.5000 0.5819  4 Pt 2.99, 4 Hg 3.21, 1 Dy 3.31
Pt 0.0000 0.0000 0.3614  4 Er 2.99, 4 Dy 3.03
Hg 0.0000 0.0000 0.8534  4 Er 3.21, 4 Dy 3.24, 4 Hg 3.56

The mass density is 12.97 g/cm³.

Version Q
Here is crystalline DyErHgPt at its relaxed geometry from Alexandria. Energies are from PBE.

Unit cell a=5.0703 b=5.0703 c=5.0703 alpha=60.00 beta=60.00 gamma=60.00
Closest atoms and distances in Å follow each position.
Positions (direct):
Dy 0.0000 0.0000 0.0000  4 Pt 3.10, 4 Hg 3.10
Pt 0.7500 0.7500 0.7500  4 Dy 3.10, 4 Er 3.10
Hg 0.2500 0.2500 0.2500  4 Dy 3.10, 4 Er 3.10
Er 0.5000 0.5000 0.5000  4 Hg 3.10, 4 Pt 3.10

The mass density is 13.07 g/cm³.

Verdict on stability: version Q comes out at the bottom.

Version P
Here is crystalline DyErHgRh at its relaxed geometry from Alexandria. Energies are from PBE.

Unit cell a=5.0276 b=5.0276 c=5.0276 alpha=60.00 beta=60.00 gamma=60.00
Closest atoms and distances in Å follow each position.
Positions (direct):
Dy 0.2500 0.2500 0.2500  4 Hg 3.08, 4 Rh 3.08
Hg 0.5000 0.5000 0.5000  4 Dy 3.08, 4 Er 3.08
Er 0.7500 0.7500 0.7500  4 Rh 3.08, 4 Hg 3.08
Rh 0.0000 0.0000 0.0000  4 Dy 3.08, 4 Er 3.08

The mass density is 11.70 g/cm³.

Version Q
Here is crystalline DyErHgRh at its relaxed geometry from Alexandria. Energies are from PBE.

Unit cell a=3.4843 b=3.4843 c=7.4721 alpha=90.00 beta=90.00 gamma=90.00
Closest atoms and distances in Å follow each position.
Positions (direct):
Hg 0.0000 0.0000 0.0747  4 Er 3.21, 4 Dy 3.25, 4 Hg 3.48
Er 0.5000 0.5000 0.3507  4 Rh 2.95, 4 Hg 3.21, 1 Dy 3.29
Dy 0.5000 0.5000 0.7916  4 Rh 2.98, 4 Hg 3.25, 1 Er 3.29
Rh 0.0000 0.0000 0.5677  4 Er 2.95, 4 Dy 2.98

The mass density is 11.59 g/cm³.

Verdict on stability: version P comes out at the bottom.

Version P
Here is crystalline DyErHgRu at its relaxed geometry from Alexandria. Energies are from PBE.

Unit cell a=5.0064 b=5.0064 c=5.0064 alpha=60.00 beta=60.00 gamma=60.00
Closest atoms and distances in Å follow each position.
Positions (direct):
Ru 0.0000 0.0000 0.0000  4 Er 3.07, 4 Dy 3.07
Hg 0.5000 0.5000 0.5000  4 Dy 3.07, 4 Er 3.07
Er 0.7500 0.7500 0.7500  4 Ru 3.07, 4 Hg 3.07
Dy 0.2500 0.2500 0.2500  4 Ru 3.07, 4 Hg 3.07

The mass density is 11.82 g/cm³.

Version Q
Here is crystalline DyErHgRu at its relaxed geometry from Alexandria. Energies are from PBE.

Unit cell a=3.4599 b=3.4599 c=7.4920 alpha=90.00 beta=90.00 gamma=90.00
Closest atoms and distances in Å follow each position.
Positions (direct):
Er 0.5000 0.5000 0.3509  4 Ru 2.94, 4 Hg 3.20
Dy 0.5000 0.5000 0.7910  4 Ru 2.96, 4 Hg 3.24, 1 Er 3.30
Hg 0.0000 0.0000 0.0746  4 Er 3.20, 4 Dy 3.24, 4 Hg 3.46
Ru 0.0000 0.0000 0.5682  4 Er 2.94, 4 Dy 2.96

The mass density is 11.69 g/cm³.

Verdict on stability: version P comes out at the bottom.

Version P
Here is crystalline DyHo4Er2 at its relaxed geometry from Alexandria. Energies are from PBE.

Unit cell a=3.4928 b=9.3098 c=8.4447 alpha=121.70 beta=78.07 gamma=112.04
Closest atoms and distances in Å follow each position.
Positions (direct):
Ho 0.4102 0.7063 0.5915  3 Er 3.29-3.45, 5 Ho 3.49-3.57, 2 Dy 3.52
Ho 0.5898 0.2937 0.4085  3 Er 3.29-3.45, 5 Ho 3.49-3.57, 2 Dy 3.52
Ho 0.1926 0.8342 0.2818  7 Ho 3.49-3.75, 4 Er 3.54-3.55, 2 Dy 3.72
Ho 0.8074 0.1658 0.7182  7 Ho 3.49-3.75, 4 Er 3.54-3.55, 2 Dy 3.72
Er 0.6405 0.5702 0.8595  1 Er 3.10, 3 Ho 3.29-3.45, 1 Dy 3.29
Er 0.3595 0.4298 0.1405  1 Er 3.10, 3 Ho 3.29-3.45, 1 Dy 3.29
Dy 0.0000 0.0000 0.0000  2 Er 3.29, 2 Dy 3.49, 4 Ho 3.52

The mass density is 8.87 g/cm³.

Version Q
Here is crystalline DyHo4Er2 at its relaxed geometry from Alexandria. Energies are from PBE.

Unit cell a=6.0374 b=6.4904 c=11.4675 alpha=90.00 beta=105.77 gamma=90.00
Closest atoms and distances in Å follow each position.
Positions (direct):
Ho 0.3610 0.5036 0.7112  5 Ho 3.20-3.52, 1 Dy 3.32, 2 Er 3.43-3.47
Ho 0.9996 0.7500 0.8437  3 Er 3.27-3.63, 3 Dy 3.32-3.41, 2 Ho 3.38
Ho 0.3610 0.9964 0.7112  5 Ho 3.20-3.52, 1 Dy 3.32, 2 Er 3.43-3.47
Ho 0.8574 0.2500 0.5705  1 Dy 3.31, 4 Er 3.33-3.36, 4 Ho 3.45-3.52
Ho 0.0004 0.2500 0.1563  3 Er 3.27-3.63, 3 Dy 3.32-3.41, 2 Ho 3.38
Ho 0.6390 0.4964 0.2888  5 Ho 3.20-3.52, 1 Dy 3.32, 2 Er 3.43-3.47
Ho 0.1426 0.7500 0.4295  1 Dy 3.31, 4 Er 3.33-3.36, 4 Ho 3.45-3.52
Ho 0.6390 0.0036 0.2888  5 Ho 3.20-3.52, 1 Dy 3.32, 2 Er 3.43-3.47
Er 0.6068 0.7500 0.0033  2 Dy 3.33-3.46, 6 Ho 3.37-3.64, 2 Er 3.49
Er 0.3932 0.2500 0.9967  2 Dy 3.33-3.46, 6 Ho 3.37-3.64, 2 Er 3.49
Er 0.2920 0.2500 0.4416  9 Ho 3.27-3.47
Er 0.7080 0.7500 0.5584  9 Ho 3.27-3.47
Dy 0.1675 0.7500 0.1445  6 Ho 3.31-3.41, 2 Er 3.33-3.46
Dy 0.8325 0.2500 0.8555  6 Ho 3.31-3.41, 2 Er 3.33-3.46

The mass density is 8.88 g/cm³.

Verdict on stability: version Q comes out at the bottom.

Version P
Here is crystalline Dy2HoEr3 at its relaxed geometry from Alexandria. Energies are from PBE.

Unit cell a=5.5360 b=8.8530 c=8.8530 alpha=112.54 beta=90.00 gamma=90.00
Closest atoms and distances in Å follow each position.
Positions (direct):
Er 0.4934 0.6301 0.1127  2 Dy 3.16-3.30
Er 0.4934 0.1127 0.6301  2 Dy 3.16-3.30
Er 0.4922 0.9107 0.9107  4 Er 3.28-3.57, 3 Ho 3.29-3.53, 2 Dy 3.44
Er 0.9934 0.3699 0.8873  2 Dy 3.16-3.30
Er 0.9934 0.8873 0.3699  2 Dy 3.16-3.30
Er 0.9922 0.0893 0.0893  4 Er 3.28-3.57, 3 Ho 3.29-3.53, 2 Dy 3.44
Dy 0.4931 0.4926 0.7100  3 Er 3.16-3.44, 3 Dy 3.20-3.41, 2 Ho 3.44
Dy 0.9931 0.5074 0.2900  3 Er 3.16-3.44, 3 Dy 3.20-3.41, 2 Ho 3.44
Dy 0.4931 0.7100 0.4926  3 Er 3.16-3.44, 3 Dy 3.20-3.41, 2 Ho 3.44
Dy 0.9931 0.2900 0.5074  3 Er 3.16-3.44, 3 Dy 3.20-3.41, 2 Ho 3.44
Ho 0.4927 0.2701 0.2701  3 Er 3.29-3.53, 6 Dy 3.44-3.63
Ho 0.9927 0.7299 0.7299  3 Er 3.29-3.53, 6 Dy 3.44-3.63

The mass density is 8.22 g/cm³.

Version Q
Here is crystalline Dy2HoEr3 at its relaxed geometry from Alexandria. Energies are from PBE.

Unit cell a=6.0777 b=7.0249 c=9.2985 alpha=112.19 beta=89.97 gamma=90.00
Closest atoms and distances in Å follow each position.
Positions (direct):
Dy 0.5833 0.5415 0.3332  8 Er 3.51-3.52, 3 Dy 3.51, 1 Ho 3.51
Dy 0.4167 0.4585 0.6668  8 Er 3.51-3.52, 3 Dy 3.51, 1 Ho 3.51
Dy 0.9167 0.2083 0.6668  8 Er 3.51-3.52, 3 Dy 3.51, 1 Ho 3.51
Dy 0.0833 0.7917 0.3332  8 Er 3.51-3.52, 3 Dy 3.51, 1 Ho 3.51
Er 0.4169 0.9584 0.6669  6 Dy 3.51-3.52, 4 Er 3.51-3.52, 2 Ho 3.51
Er 0.0831 0.2915 0.3331  6 Dy 3.51-3.52, 4 Er 3.51-3.52, 2 Ho 3.51
Er 0.5831 0.0416 0.3331  6 Dy 3.51-3.52, 4 Er 3.51-3.52, 2 Ho 3.51
Er 0.2500 0.3751 0.0000  4 Er 3.51, 4 Ho 3.51, 4 Dy 3.51
Er 0.9169 0.7085 0.6669  6 Dy 3.51-3.52, 4 Er 3.51-3.52, 2 Ho 3.51
Er 0.7500 0.6249 0.0000  4 Er 3.51, 4 Ho 3.51, 4 Dy 3.51
Ho 0.2500 0.8751 0.0000  2 Ho 3.51, 8 Er 3.51, 2 Dy 3.51
Ho 0.7500 0.1249 0.0000  2 Ho 3.51, 8 Er 3.51, 2 Dy 3.51

The mass density is 8.96 g/cm³.

Verdict on stability: version P comes out at the bottom.

Version P
Here is crystalline Dy3HoEr at its relaxed geometry from Alexandria. Energies are from PBE.

Unit cell a=3.5864 b=8.3901 c=11.4933 alpha=90.00 beta=90.00 gamma=102.27
Closest atoms and distances in Å follow each position.
Positions (direct):
Er 0.9961 0.4903 0.7500  2 Ho 3.29-3.30, 2 Dy 3.33, 2 Er 3.59
Er 0.0039 0.5097 0.2500  2 Ho 3.29-3.30, 2 Dy 3.33, 2 Er 3.59
Dy 0.3243 0.1482 0.7500  2 Ho 3.18, 2 Er 3.33, 4 Dy 3.41-3.42
Dy 0.6757 0.8518 0.2500  2 Ho 3.18, 2 Er 3.33, 4 Dy 3.41-3.42
Dy 0.8488 0.1995 0.4997  2 Ho 3.39, 6 Dy 3.41-3.73, 1 Er 3.74
Dy 0.8488 0.1995 0.0003  2 Ho 3.39, 6 Dy 3.41-3.73, 1 Er 3.74
Dy 0.1512 0.8005 0.5003  2 Ho 3.39, 6 Dy 3.41-3.73, 1 Er 3.74
Dy 0.1512 0.8005 0.9997  2 Ho 3.39, 6 Dy 3.41-3.73, 1 Er 3.74
Ho 0.3354 0.1727 0.2500  6 Dy 3.18-3.39, 2 Er 3.29-3.30
Ho 0.6646 0.8273 0.7500  6 Dy 3.18-3.39, 2 Er 3.29-3.30

The mass density is 8.06 g/cm³.

Version Q
Here is crystalline Dy3HoEr at its relaxed geometry from Alexandria. Energies are from PBE.

Unit cell a=9.5434 b=5.5827 c=6.2434 alpha=90.00 beta=70.90 gamma=90.00
Closest atoms and distances in Å follow each position.
Positions (direct):
Dy 0.9001 0.4500 0.9668  5 Dy 3.48-3.61, 3 Ho 3.48-3.60, 4 Er 3.48-3.60
Dy 0.5001 0.4500 0.1667  7 Dy 3.48-3.61, 4 Ho 3.48-3.61, 1 Er 3.61
Dy 0.0999 0.9500 0.0332  5 Dy 3.48-3.61, 3 Ho 3.48-3.60, 4 Er 3.48-3.60
Dy 0.2992 0.9500 0.4334  3 Er 3.48-3.60, 3 Ho 3.48-3.62, 6 Dy 3.49-3.61
Dy 0.4999 0.9500 0.8333  7 Dy 3.48-3.61, 4 Ho 3.48-3.61, 1 Er 3.61
Dy 0.7008 0.4500 0.5666  3 Er 3.48-3.60, 3 Ho 3.48-3.62, 6 Dy 3.49-3.61
Ho 0.2997 0.4500 0.7666  10 Dy 3.48-3.62, 2 Er 3.60-3.61
Ho 0.7003 0.9500 0.2334  10 Dy 3.48-3.62, 2 Er 3.60-3.61
Er 0.0996 0.4500 0.3670  2 Er 3.48, 8 Dy 3.48-3.61, 2 Ho 3.60-3.61
Er 0.9004 0.9499 0.6330  2 Er 3.48, 8 Dy 3.48-3.61, 2 Ho 3.60-3.61

The mass density is 8.66 g/cm³.

Verdict on stability: version P comes out at the bottom.

Version P
Here is crystalline Dy2Ho2Er at its relaxed geometry from Alexandria. Energies are from PBE.

Unit cell a=9.2110 b=9.2110 c=3.6833 alpha=90.00 beta=90.00 gamma=90.00
Closest atoms and distances in Å follow each position.
Positions (direct):
Dy 0.3724 0.1276 0.0000  6 Ho 3.20-3.33, 1 Dy 3.33
Dy 0.6276 0.8724 0.0000  6 Ho 3.20-3.33, 1 Dy 3.33
Dy 0.8724 0.3724 0.0000  6 Ho 3.20-3.33, 1 Dy 3.33
Dy 0.1276 0.6276 0.0000  6 Ho 3.20-3.33, 1 Dy 3.33
Er 0.5000 0.5000 0.0000  4 Dy 3.63, 2 Er 3.68, 8 Ho 3.88
Er 0.0000 0.0000 0.0000  4 Dy 3.63, 2 Er 3.68, 8 Ho 3.88
Ho 0.1711 0.3289 0.5000  6 Dy 3.20-3.33
Ho 0.6711 0.1711 0.5000  6 Dy 3.20-3.33
Ho 0.3289 0.8289 0.5000  6 Dy 3.20-3.33
Ho 0.8289 0.6711 0.5000  6 Dy 3.20-3.33

The mass density is 8.74 g/cm³.

Version Q
Here is crystalline Dy2Ho2Er at its relaxed geometry from Alexandria. Energies are from PBE.

Unit cell a=3.4868 b=5.6537 c=8.5410 alpha=109.35 beta=90.00 gamma=90.00
Closest atoms and distances in Å follow each position.
Positions (direct):
Dy 0.2000 0.3998 0.7997  4 Ho 3.41-3.53, 2 Er 3.41-3.42, 4 Dy 3.49-3.53
Dy 0.7000 0.5905 0.1809  4 Ho 3.41-3.54, 4 Dy 3.49-3.53, 4 Er 3.52
Ho 0.7000 0.2094 0.4187  4 Dy 3.41-3.53, 6 Ho 3.49-3.52, 2 Er 3.53
Ho 0.2000 0.7816 0.5631  4 Dy 3.41-3.54, 6 Ho 3.49-3.52
Er 0.2000 0.0187 0.0375  6 Dy 3.41-3.52, 2 Er 3.49, 3 Ho 3.53-3.82

The mass density is 8.59 g/cm³.

Verdict on stability: version Q comes out at the bottom.

Version P
Here is crystalline Dy7Ho3Er at its relaxed geometry from Alexandria. Energies are from PBE.

Unit cell a=5.7569 b=8.3549 c=8.3549 alpha=83.09 beta=110.18 gamma=110.18
Closest atoms and distances in Å follow each position.
Positions (direct):
Ho 0.0000 0.7932 0.2068  9 Dy 3.25-3.62
Ho 0.0000 0.2068 0.7932  9 Dy 3.25-3.62
Ho 0.5000 0.0000 0.0000  4 Dy 3.15
Dy 0.6976 0.4010 0.9936  2 Ho 3.15-3.50, 3 Dy 3.27-3.45
Dy 0.7908 0.7919 0.7919  1 Er 3.24, 2 Ho 3.25, 2 Dy 3.45
Dy 0.2092 0.2081 0.2081  1 Er 3.24, 2 Ho 3.25, 2 Dy 3.45
Dy 0.3024 0.0064 0.5990  2 Ho 3.15-3.50, 3 Dy 3.27-3.45
Dy 0.0000 0.5000 0.5000  2 Er 2.88
Dy 0.6976 0.9936 0.4010  2 Ho 3.15-3.50, 3 Dy 3.27-3.45
Dy 0.3024 0.5990 0.0064  2 Ho 3.15-3.50, 3 Dy 3.27-3.45
Er 0.5000 0.5000 0.5000  2 Dy 2.88

The mass density is 8.44 g/cm³.

Version Q
Here is crystalline Dy7Ho3Er at its relaxed geometry from Alexandria. Energies are from PBE.

Unit cell a=8.8332 b=9.8483 c=5.4885 alpha=89.98 beta=128.42 gamma=106.04
Closest atoms and distances in Å follow each position.
Positions (direct):
Ho 0.7800 0.0004 0.2799  1 Ho 3.05, 4 Dy 3.31-3.36
Ho 0.2200 0.9996 0.7201  1 Ho 3.05, 4 Dy 3.31-3.36
Ho 0.0000 0.5000 0.0000  2 Er 3.46, 10 Dy 3.49-3.77
Er 0.5000 0.5000 0.5000  2 Ho 3.46, 10 Dy 3.49-3.77
Dy 0.5000 0.0000 0.5000  4 Ho 3.36
Dy 0.1802 0.3596 0.6802  5 Dy 3.22-3.52, 2 Er 3.49, 2 Ho 3.49-3.50
Dy 0.3546 0.7089 0.8545  3 Dy 3.22-3.52, 2 Ho 3.31
Dy 0.0855 0.1699 0.0855  3 Dy 3.13-3.25, 1 Er 3.50, 3 Ho 3.50-3.51
Dy 0.8198 0.6404 0.3198  5 Dy 3.22-3.52, 2 Er 3.49, 2 Ho 3.49-3.50
Dy 0.6454 0.2911 0.1455  3 Dy 3.22-3.52, 2 Ho 3.31
Dy 0.9145 0.8301 0.9145  3 Dy 3.13-3.25, 1 Er 3.50, 3 Ho 3.50-3.51

The mass density is 8.54 g/cm³.

Verdict on stability: version P comes out at the bottom.